1.
19
Lattice="6.389 3.689 2.396 -6.389 3.689 2.396 0.000 -7.378 2.396" Properties=species:S:1:pos:R:3 comment="GaAg12Au6 (PBE-GGA, relaxed)" dos_at_fermi_per_ev_cell=5.99 mass_density_kg_m3=12476 formation_enthalpy_0k_ev_per_atom=-0.027 pbc="T T T"
Ga 0.000 0.000 0.000
Ag -0.331 -4.482 2.401
Ag -3.716 2.528 2.401
Ag -0.665 -1.541 2.389
Ag -4.047 -1.955 4.788
Ag -1.002 1.346 2.389
Ag 1.667 0.195 2.389
Ag -1.667 -0.195 4.800
Ag 1.002 -1.346 4.800
Ag 4.047 1.955 2.401
Ag 0.665 1.541 4.800
Ag 3.716 -2.528 4.788
Ag 0.331 4.482 4.788
Au -3.369 -0.387 2.386
Au 2.020 -2.724 2.386
Au -1.349 -3.111 4.803
Au 1.349 3.111 2.386
Au -2.020 2.724 4.803
Au 3.369 0.387 4.803


2.
12
Lattice="8.760 -2.673 0.000 8.760 2.673 0.000 -1.281 0.000 4.650" Properties=species:S:1:pos:R:3 comment="GaAgAu4 (PBE-GGA, relaxed)" dos_at_fermi_per_ev_cell=4.08 mass_density_kg_m3=14726 relative_energy_ev_per_fu=0.00 formation_enthalpy_0k_ev_per_atom=-0.068 pbc="T T T"
Ga 4.380 1.336 0.000
Ga 3.739 -1.336 2.325
Ag 7.799 1.817 3.487
Ag 8.440 -1.817 1.162
Au 5.052 1.731 2.730
Au 7.042 0.849 0.778
Au 10.546 1.731 4.245
Au 9.837 0.849 1.547
Au 6.401 -0.849 3.103
Au 5.693 -1.731 0.405
Au 9.197 -0.849 3.872
Au 11.186 -1.731 1.920


3.
16
Lattice="6.360 0.000 0.000 0.000 8.369 0.000 -1.902 0.000 6.108" Properties=species:S:1:pos:R:3 comment="Ga6AgAu (PBE-GGA, relaxed)" dos_at_fermi_per_ev_cell=6.00 mass_density_kg_m3=7387 formation_enthalpy_0k_ev_per_atom=0.012 pbc="T T T"
Ga -0.086 1.730 1.954
Ga -0.086 6.640 1.954
Ga 0.797 4.185 1.039
Ga 0.482 0.000 5.068
Ga 1.364 2.455 4.154
Ga 1.364 5.915 4.154
Ga 3.094 2.455 1.954
Ga 3.094 5.915 1.954
Ga 3.977 0.000 1.039
Ga 3.662 4.185 5.068
Ga 4.545 1.730 4.154
Ga 4.545 6.640 4.154
Ag -0.951 4.185 3.054
Ag 2.229 0.000 3.054
Au 0.000 0.000 0.000
Au 3.180 4.185 0.000


4.
12
Lattice="3.589 0.000 0.000 -1.794 3.108 0.000 0.000 0.000 21.130" Properties=species:S:1:pos:R:3 comment="Ga2AgAu (PBE-GGA, relaxed)" dos_at_fermi_per_ev_cell=3.45 mass_density_kg_m3=9391 relative_energy_ev_per_fu=0.20 formation_enthalpy_0k_ev_per_atom=-0.013 pbc="T T T"
Ga 0.000 0.000 0.000
Ga 0.000 0.000 3.672
Ga 0.000 2.072 14.087
Ga 0.000 2.072 17.759
Ga 1.794 1.036 7.043
Ga 1.794 1.036 10.715
Ag 0.000 0.000 15.879
Ag 0.000 2.072 8.835
Ag 1.794 1.036 1.792
Au 0.000 0.000 12.428
Au 0.000 2.072 5.384
Au 1.794 1.036 19.471


5.
16
Lattice="6.617 0.000 0.000 0.000 6.617 0.000 0.000 0.000 6.617" Properties=species:S:1:pos:R:3 comment="Ga2AgAu (PBE-GGA, relaxed)" dos_at_fermi_per_ev_cell=6.46 mass_density_kg_m3=10185 relative_energy_ev_per_fu=0.16 formation_enthalpy_0k_ev_per_atom=-0.023 pbc="T T T"
Ga 1.654 1.654 1.654
Ga 1.654 1.654 4.963
Ga 1.654 4.963 1.654
Ga 1.654 4.963 4.963
Ga 4.963 1.654 1.654
Ga 4.963 1.654 4.963
Ga 4.963 4.963 1.654
Ga 4.963 4.963 4.963
Ag 0.000 0.000 0.000
Ag 0.000 3.309 3.309
Ag 3.309 0.000 3.309
Ag 3.309 3.309 0.000
Au 0.000 0.000 3.309
Au 0.000 3.309 0.000
Au 3.309 0.000 0.000
Au 3.309 3.309 3.309


6.
12
Lattice="6.173 0.000 0.000 0.000 6.173 0.000 0.000 0.000 6.173" Properties=species:S:1:pos:R:3 comment="GaAgAu (PBE-GGA, relaxed)" dos_at_fermi_per_ev_cell=11.27 mass_density_kg_m3=10578 relative_energy_ev_per_fu=0.25 formation_enthalpy_0k_ev_per_atom=-0.023 pbc="T T T"
Ga 0.000 0.000 0.000
Ga 0.000 3.086 3.086
Ga 3.086 0.000 3.086
Ga 3.086 3.086 0.000
Ag 1.543 1.543 4.629
Ag 1.543 4.629 1.543
Ag 4.629 1.543 1.543
Ag 4.629 4.629 4.629
Au 1.543 1.543 1.543
Au 1.543 4.629 4.629
Au 4.629 1.543 4.629
Au 4.629 4.629 1.543